Record 1
GGA-PBE CrAu4, relaxed; SG = Pm-3m; crystal system = cubic; energy of formation from the pure elements = 0.992 eV per atom
1.0
-2.5786 1.4173 -3.9245
-3.1464 -3.6906 0.7344
-2.7406 2.9035 2.8493
Cr Au
1 4
Direct
0.5000 0.5000 0.5000
0.0000 0.0000 0.0000
0.5000 0.0000 0.5000
0.0000 0.5000 0.5000
0.5000 0.5000 0.0000


Record 2
GGA-PBE PmAl7Ag5, relaxed; SG = Imm2; crystal system = orthorhombic; energy of formation from the pure elements = -0.193 eV per atom
1.0
-1.8142 -0.1963 5.2503
5.2455 -0.1255 4.7501
-1.1168 6.4055 2.7959
Pm Al Ag
1 7 5
Direct
0.9980 0.0020 0.0020
0.6431 0.3569 0.3569
0.3503 0.6497 0.6497
0.9956 0.3570 0.6519
0.9956 0.6519 0.3570
0.2782 0.2218 0.2218
0.5052 0.7837 0.2058
0.5052 0.2058 0.7837
0.5018 0.0060 0.4879
0.0044 0.0060 0.4879
0.5018 0.4879 0.0060
0.0044 0.4879 0.0060
0.7165 0.7835 0.7835